The following is a DFT calculation (PBE) of an optimized crystal structure of CaY2Te3.

## Properties
**E_form (uncorrected)**: -1.414 eV/atom
**V**: 362.1 Å³/cell

abc: 4.3756 6.2180 13.3079
angles: 90.00 90.00 90.00
Space group Immm (No. 71)
Symmetry-distinct sites (fractional):
Ca: 0.0000 0.0000 0.0000
Y: 0.0000 0.0000 0.3348
Te: 0.0000 0.5000 0.0000
Te: 0.0000 0.5000 0.3318